Version 1
The following is a PBE calculation of a geometry-optimized CaPr3Er structure, from the Alexandria database. Values from VASP.

The magnetic moment is 0.00 Bohr magnetons per cell. The calculated density comes out at 5.22 g cm⁻³. As for the space-group type: R-3 (148).

Structure (Quantum ESPRESSO input):
```
&SYSTEM
  ibrav = 0, nat = 10, ntyp = 3
/
ATOMIC_SPECIES
Er 167.26 Er.upf
Pr 140.91 Pr.upf
Ca 40.08 Ca.upf
CELL_PARAMETERS angstrom
-3.565 0.396 5.142
-5.878 -2.179 -0.086
0.718 -11.162 5.179
ATOMIC_POSITIONS crystal
Er 0.166 0.166 0.501
Er 0.834 0.834 0.499
Pr 0.582 0.251 0.268
Pr 0.418 0.749 0.732
Pr 0.899 0.582 0.268
Pr 0.101 0.418 0.732
Pr 0.749 0.101 0.732
Pr 0.251 0.899 0.268
Ca 0.667 0.667 0.999
Ca 0.333 0.333 0.002
```

***

Version 2
The following is a PBE calculation of a geometry-optimized CaPr3Er structure, from the Alexandria database. Values from VASP.

The magnetic moment is 0.00 Bohr magnetons per cell. The calculated density comes out at 5.71 g cm⁻³. As for the space-group type: Cmmm (65).

Structure (Quantum ESPRESSO input):
```
&SYSTEM
  ibrav = 0, nat = 10, ntyp = 3
/
ATOMIC_SPECIES
Pr 140.91 Pr.upf
Er 167.26 Er.upf
Ca 40.08 Ca.upf
CELL_PARAMETERS angstrom
-2.745 -5.717 -0.508
5.491 1.944 -2.560
5.618 -3.532 9.363
ATOMIC_POSITIONS crystal
Pr 0.000 0.000 0.309
Pr 0.652 0.347 0.191
Pr 0.653 0.348 0.809
Pr 0.347 0.652 0.191
Pr 0.000 0.000 0.691
Pr 0.348 0.653 0.809
Er 0.861 0.139 0.000
Er 0.139 0.861 0.000
Ca 0.344 0.656 0.500
Ca 0.656 0.344 0.500
```

***

Top of the stability list: version 2, leading by 203 meV per atom.

***

Version 1
The following is a PBE calculation of a geometry-optimized CaPrEr structure, from the Alexandria database. Values from VASP.

The magnetic moment is 0.24 Bohr magnetons per cell. The calculated density comes out at 5.27 g cm⁻³. As for the space-group type: Pmma (51).

Structure (Quantum ESPRESSO input):
```
&SYSTEM
  ibrav = 0, nat = 6, ntyp = 3
/
ATOMIC_SPECIES
Ca 40.08 Ca.upf
Er 167.26 Er.upf
Pr 140.91 Pr.upf
CELL_PARAMETERS angstrom
-0.623 -0.842 3.383
1.758 -8.826 -1.873
6.509 0.990 1.445
ATOMIC_POSITIONS crystal
Ca 0.000 0.856 0.250
Ca 0.000 0.144 0.750
Er 0.000 0.500 0.000
Er 0.000 0.500 0.500
Pr 0.500 0.780 0.750
Pr 0.500 0.220 0.250
```

***

Version 2
The following is a PBE calculation of a geometry-optimized CaPrEr structure, from the Alexandria database. Values from VASP.

The magnetic moment is 0.00 Bohr magnetons per cell. The calculated density comes out at 5.22 g cm⁻³. As for the space-group type: P4/nmm (129).

Structure (Quantum ESPRESSO input):
```
&SYSTEM
  ibrav = 0, nat = 6, ntyp = 3
/
ATOMIC_SPECIES
Ca 40.08 Ca.upf
Pr 140.91 Pr.upf
Er 167.26 Er.upf
CELL_PARAMETERS angstrom
-1.730 0.946 -3.521
-2.996 -2.590 0.776
-7.003 9.931 6.108
ATOMIC_POSITIONS crystal
Ca 0.500 0.000 0.099
Ca 0.000 0.500 0.901
Pr 0.000 0.500 0.286
Pr 0.500 0.000 0.714
Er 0.000 0.500 0.566
Er 0.500 0.000 0.434
```

***

Top of the stability list: version 2, leading by 101 meV per atom.

***

Version 1
The following is a PBE calculation of a geometry-optimized CaPrEr structure, from the Alexandria database. Values from VASP.

The magnetic moment is 0.00 Bohr magnetons per cell. The calculated density comes out at 5.41 g cm⁻³. As for the space-group type: I4mm (107).

Structure (Quantum ESPRESSO input):
```
&SYSTEM
  ibrav = 0, nat = 3, ntyp = 3
/
ATOMIC_SPECIES
Pr 140.91 Pr.upf
Er 167.26 Er.upf
Ca 40.08 Ca.upf
CELL_PARAMETERS angstrom
3.690 0.000 0.000
0.000 3.690 0.000
-1.845 -1.845 7.844
ATOMIC_POSITIONS crystal
Pr 0.677 0.677 0.353
Er 0.326 0.326 0.652
Ca 0.998 0.998 0.995
```

***

Version 2
The following is a PBE calculation of a geometry-optimized CaPrEr structure, from the Alexandria database. Values from VASP.

The magnetic moment is 0.00 Bohr magnetons per cell. The calculated density comes out at 5.30 g cm⁻³. As for the space-group type: P2_1/m (11).

Structure (Quantum ESPRESSO input):
```
&SYSTEM
  ibrav = 0, nat = 6, ntyp = 3
/
ATOMIC_SPECIES
Pr 140.91 Pr.upf
Er 167.26 Er.upf
Ca 40.08 Ca.upf
CELL_PARAMETERS angstrom
-2.449 1.148 2.408
0.672 -4.728 2.938
6.575 5.239 6.925
ATOMIC_POSITIONS crystal
Pr 0.193 0.915 0.890
Pr 0.981 0.415 0.310
Er 0.628 0.415 0.020
Er 0.547 0.915 0.179
Ca 0.383 0.915 0.507
Ca 0.792 0.415 0.692
```

***

Top of the stability list: version 2, leading by 20 meV per atom.

***

Version 1
The following is a PBE calculation of a geometry-optimized CaPrSmEr structure, from the Alexandria database. Values from VASP.

The magnetic moment is 0.00 Bohr magnetons per cell. The calculated density comes out at 5.90 g cm⁻³. As for the space-group type: P4mm (99).

Structure (Quantum ESPRESSO input):
```
&SYSTEM
  ibrav = 0, nat = 4, ntyp = 4
/
ATOMIC_SPECIES
Sm 150.36 Sm.upf
Er 167.26 Er.upf
Ca 40.08 Ca.upf
Pr 140.91 Pr.upf
CELL_PARAMETERS angstrom
-1.093 2.875 1.980
-2.405 0.884 -2.611
-7.260 -5.972 4.665
ATOMIC_POSITIONS crystal
Sm 0.500 0.500 0.804
Er 0.000 0.000 0.575
Ca 0.000 0.000 0.068
Pr 0.500 0.500 0.338
```

***

Version 2
The following is a PBE calculation of a geometry-optimized CaPrSmEr structure, from the Alexandria database. Values from VASP.

The magnetic moment is 0.00 Bohr magnetons per cell. The calculated density comes out at 5.91 g cm⁻³. As for the space-group type: F-43m (216).

Structure (Quantum ESPRESSO input):
```
&SYSTEM
  ibrav = 0, nat = 4, ntyp = 4
/
ATOMIC_SPECIES
Ca 40.08 Ca.upf
Sm 150.36 Sm.upf
Er 167.26 Er.upf
Pr 140.91 Pr.upf
CELL_PARAMETERS angstrom
-4.407 -3.323 1.873
-1.840 -4.490 -3.228
1.013 -5.463 1.760
ATOMIC_POSITIONS crystal
Ca 0.000 0.000 0.000
Sm 0.250 0.250 0.250
Er 0.500 0.500 0.500
Pr 0.750 0.750 0.750
```

***

Top of the stability list: version 1, leading by 72 meV per atom.

***

Version 1
The following is a PBE calculation of a geometry-optimized CaErPt2 structure, from the Alexandria database. Values from VASP.

The magnetic moment is 0.00 Bohr magnetons per cell. The calculated density comes out at 11.94 g cm⁻³. As for the space-group type: Fm-3m (225).

Structure (Quantum ESPRESSO input):
```
&SYSTEM
  ibrav = 0, nat = 4, ntyp = 3
/
ATOMIC_SPECIES
Ca 40.08 Ca.upf
Er 167.26 Er.upf
Pt 195.08 Pt.upf
CELL_PARAMETERS angstrom
-2.630 -3.115 -2.716
-0.889 -4.530 1.639
-4.524 -1.254 1.401
ATOMIC_POSITIONS crystal
Ca 0.500 0.500 0.500
Er 0.000 0.000 0.000
Pt 0.250 0.250 0.250
Pt 0.750 0.750 0.750
```

***

Version 2
The following is a PBE calculation of a geometry-optimized CaErPt2 structure, from the Alexandria database. Values from VASP.

The magnetic moment is 0.00 Bohr magnetons per cell. The calculated density comes out at 11.78 g cm⁻³. As for the space-group type: P4/mmm (123).

Structure (Quantum ESPRESSO input):
```
&SYSTEM
  ibrav = 0, nat = 4, ntyp = 3
/
ATOMIC_SPECIES
Pt 195.08 Pt.upf
Er 167.26 Er.upf
Ca 40.08 Ca.upf
CELL_PARAMETERS angstrom
3.461 0.000 0.000
0.000 3.461 0.000
0.000 0.000 7.036
ATOMIC_POSITIONS crystal
Pt 0.000 0.000 0.771
Pt 0.000 0.000 0.229
Er 0.500 0.500 0.000
Ca 0.500 0.500 0.500
```

***

Top of the stability list: version 2, leading by 50 meV per atom.

***

Version 1
The following is a PBE calculation of a geometry-optimized CaErZnPt structure, from the Alexandria database. Values from VASP.

The magnetic moment is 0.00 Bohr magnetons per cell. The calculated density comes out at 8.35 g cm⁻³. As for the space-group type: Amm2 (38).

Structure (Quantum ESPRESSO input):
```
&SYSTEM
  ibrav = 0, nat = 4, ntyp = 4
/
ATOMIC_SPECIES
Ca 40.08 Ca.upf
Er 167.26 Er.upf
Zn 65.41 Zn.upf
Pt 195.08 Pt.upf
CELL_PARAMETERS angstrom
3.937 0.000 0.000
0.000 4.179 0.000
-1.969 0.000 5.653
ATOMIC_POSITIONS crystal
Ca 0.149 0.000 0.298
Er 0.861 0.500 0.722
Zn 0.570 0.500 0.139
Pt 0.421 0.000 0.841
```

***

Version 2
The following is a PBE calculation of a geometry-optimized CaErZnPt structure, from the Alexandria database. Values from VASP.

The magnetic moment is 0.00 Bohr magnetons per cell. The calculated density comes out at 9.00 g cm⁻³. As for the space-group type: F-43m (216).

Structure (Quantum ESPRESSO input):
```
&SYSTEM
  ibrav = 0, nat = 4, ntyp = 4
/
ATOMIC_SPECIES
Ca 40.08 Ca.upf
Zn 65.41 Zn.upf
Er 167.26 Er.upf
Pt 195.08 Pt.upf
CELL_PARAMETERS angstrom
4.961 0.000 0.000
2.480 4.296 0.000
2.480 1.432 4.050
ATOMIC_POSITIONS crystal
Ca 0.750 0.750 0.750
Zn 0.000 0.000 0.000
Er 0.250 0.250 0.250
Pt 0.500 0.500 0.500
```

***

Top of the stability list: version 1, leading by 57 meV per atom.